DFT (PBE) results for a relaxed CaCr2In crystal.

```
CaCr2In
1.0
1.662 0.959 9.698
-1.662 0.959 9.698
0.000 -1.919 9.698
Ca Cr In
1 2 1
direct
0.000 0.000 0.000 Ca
0.243 0.243 0.243 Cr
0.757 0.757 0.757 Cr
0.500 0.500 0.500 In
```

Computed properties:
- Energy: -0.386 Ry per atom
- Total magnetization: 8.1 μB/f.u.